No. 1
Below is a relaxed structure of Tm5InSn4, with properties calculated at the GGA-PBE level.

Values from the calculation:
- Energy of formation from the pure elements: -0.411 eV/atom
- D(E_F): 5.52 states/eV/f.u.

a b c (Å): 9.5495 9.5495 6.2312
angles (deg): 90.00 90.00 90.00
With the nearest neighbours (Å) after each atom.
Space group I4 (No. 79)
Asymmetric unit:
Tm: 0.0000 0.0000 0.0000 x2  4 Sn 3.11, 2 In 3.11-3.12
Tm: 0.0894 0.6817 0.2896 x8  5 Sn 3.03-3.15
In: 0.0000 0.0000 0.5009 x2  6 Tm 3.11-3.42, 4 Sn 3.35
Sn: 0.1055 0.7242 0.7909 x8  6 Tm 3.03-3.15, 1 In 3.35

---

No. 2
Below is a relaxed structure of TmInSn2, with properties calculated at the GGA-PBE level.

Values from the calculation:
- Energy of formation from the pure elements: -0.301 eV/atom
- D(E_F): 1.65 states/eV/f.u.
- Relative energy among the computed polymorphs: 0.072 eV/atom

a b c (Å): 4.0961 4.0961 6.2982
angles (deg): 90.00 90.00 90.00
With the nearest neighbours (Å) after each atom.
Space group P4/mmm (No. 123)
Asymmetric unit:
Tm: 0.0000 0.0000 0.0000 x1  2 In 3.15, 8 Sn 3.27
In: 0.0000 0.0000 0.5000 x1  2 Tm 3.15, 8 Sn 3.32
Sn: 0.5000 0.5000 0.2415 x2  2 Sn 3.04-3.26, 4 Tm 3.27, 4 In 3.32